Entry from Alexandria via LeMat-Bulk: a relaxed PrIn2WO8 crystal (PBE with a Hubbard U).

Values from the calculation:
E = -6.70 eV per atom
Spin magnetization = 0.061 μB per atom

a = 4.9431 Å, b = 4.9415 Å, c = 6.8913 Å
α = 90.00°, β = 90.00°, γ = 90.08°
Sites, in units of the cell vectors:
Pr  0.0000  0.0000  0.5000
In  0.5000  0.5000  0.7633
In  0.5000  0.5000  0.2367
W  0.0000  0.0000  0.0000
O  0.1885  0.8106  0.2061
O  0.7147  0.7156  0.0000
O  0.8115  0.1894  0.2061
O  0.8115  0.1894  0.7939
O  0.2853  0.2844  0.0000
O  0.1885  0.8106  0.7939
O  0.6736  0.6750  0.5000
O  0.3264  0.3250  0.5000